(1)
# PBE-GGA NpAgAs, relaxed
# - Total moment: 4.039 μB/f.u.
# - DOS(E_F): 21.550 states/eV/cell
# - Theoretical density: 9.575 g/cm3
# - Energy of formation: -10 meV per atom
# - E_tot: -6.82 eV/atom
data_NpAgAs
_space_group_name_H-M_alt 'P 1'
_space_group_IT_number 1
_cell_length_a 7.731
_cell_length_b 7.731
_cell_length_c 7.731
_cell_angle_alpha 36.39
_cell_angle_beta 36.39
_cell_angle_gamma 36.39
loop_
_space_group_symop_operation_xyz
'x,y,z'
loop_
_atom_site_label
_atom_site_type_symbol
_atom_site_fract_x
_atom_site_fract_y
_atom_site_fract_z
Np1 Np 0.088 0.088 0.088
Np2 Np 0.912 0.912 0.912
Ag1 Ag 0.343 0.343 0.343
Ag2 Ag 0.657 0.657 0.657
As1 As 0.218 0.218 0.218
As2 As 0.782 0.782 0.782

(2)
# PBE-GGA TlTe2As, relaxed
# - Total moment: 0.000 μB/f.u.
# - DOS(E_F): 0.923 states/eV/cell
# - Theoretical density: 6.537 g/cm3
# - E_tot: -3.37 eV/atom
# - Formation energy from raw total energies: -0.047 eV per atom
data_TlTe2As
_space_group_name_H-M_alt 'P 1'
_space_group_IT_number 1
_cell_length_a 4.362
_cell_length_b 4.362
_cell_length_c 7.136
_cell_angle_alpha 90.00
_cell_angle_beta 90.00
_cell_angle_gamma 90.00
loop_
_space_group_symop_operation_xyz
'x,y,z'
loop_
_atom_site_label
_atom_site_type_symbol
_atom_site_fract_x
_atom_site_fract_y
_atom_site_fract_z
Tl1 Tl 0.000 0.000 0.000
Te1 Te 0.000 0.000 0.460
Te2 Te 0.500 0.500 0.872
As1 As 0.500 0.500 0.514

(3)
# PBE-GGA NdSiHPd2, relaxed
# - Total moment: 0.000 μB/f.u.
# - DOS(E_F): 3.203 states/eV/cell
# - Theoretical density: 8.187 g/cm3
# - E_tot: -5.60 eV/atom
data_NdSiHPd2
_space_group_name_H-M_alt 'P 1'
_space_group_IT_number 1
_cell_length_a 5.811
_cell_length_b 5.811
_cell_length_c 7.277
_cell_angle_alpha 90.00
_cell_angle_beta 90.00
_cell_angle_gamma 140.39
loop_
_space_group_symop_operation_xyz
'x,y,z'
loop_
_atom_site_label
_atom_site_type_symbol
_atom_site_fract_x
_atom_site_fract_y
_atom_site_fract_z
Nd1 Nd 0.057 0.943 0.750
Nd2 Nd 0.943 0.057 0.250
Si1 Si 0.226 0.774 0.250
Si2 Si 0.774 0.226 0.750
H1 H 0.500 0.500 0.000
H2 H 0.500 0.500 0.500
Pd1 Pd 0.337 0.663 0.556
Pd2 Pd 0.337 0.663 0.944
Pd3 Pd 0.663 0.337 0.056
Pd4 Pd 0.663 0.337 0.444

(4)
# PBE-GGA DyCoSn2, relaxed
# - Total moment: 0.025 μB/f.u.
# - DOS(E_F): 2.815 states/eV/cell
# - Theoretical density: 8.781 g/cm3
# - Energy of formation: -336 meV per atom
# - E_tot: -5.26 eV/atom
data_DyCoSn2
_space_group_name_H-M_alt 'P 1'
_space_group_IT_number 1
_cell_length_a 5.888
_cell_length_b 5.888
_cell_length_c 5.888
_cell_angle_alpha 43.20
_cell_angle_beta 43.20
_cell_angle_gamma 43.20
loop_
_space_group_symop_operation_xyz
'x,y,z'
loop_
_atom_site_label
_atom_site_type_symbol
_atom_site_fract_x
_atom_site_fract_y
_atom_site_fract_z
Dy1 Dy 0.000 0.000 0.000
Co1 Co 0.500 0.500 0.500
Sn1 Sn 0.222 0.222 0.222
Sn2 Sn 0.778 0.778 0.778

(5)
# PBE-GGA KNiMo2, relaxed
# - Total moment: 0.000 μB/f.u.
# - DOS(E_F): 3.644 states/eV/cell
# - Polymorph energy (0 for the lowest one): 181 meV/atom
# - Theoretical density: 6.619 g/cm3
# - Energy of formation: 848 meV per atom
# - E_tot: -6.29 eV/atom
data_KNiMo2
_space_group_name_H-M_alt 'P 1'
_space_group_IT_number 1
_cell_length_a 6.248
_cell_length_b 6.248
_cell_length_c 6.248
_cell_angle_alpha 156.09
_cell_angle_beta 132.42
_cell_angle_gamma 53.93
loop_
_space_group_symop_operation_xyz
'x,y,z'
loop_
_atom_site_label
_atom_site_type_symbol
_atom_site_fract_x
_atom_site_fract_y
_atom_site_fract_z
K1 K 0.000 0.000 0.000
Ni1 Ni 0.500 0.500 0.000
Mo1 Mo 0.296 0.796 0.500
Mo2 Mo 0.704 0.204 0.500

(6)
# PBE-GGA K4Er3MnSe8, relaxed
# - Total moment: 3.995 μB/f.u.
# - DOS(E_F): 2.957 states/eV/cell
# - Theoretical density: 4.966 g/cm3
# - E_tot: -4.91 eV/atom
# - Formation energy from raw total energies: -1.470 eV per atom
data_K4Er3MnSe8
_space_group_name_H-M_alt 'P 1'
_space_group_IT_number 1
_cell_length_a 9.019
_cell_length_b 9.019
_cell_length_c 9.019
_cell_angle_alpha 54.29
_cell_angle_beta 54.29
_cell_angle_gamma 54.29
loop_
_space_group_symop_operation_xyz
'x,y,z'
loop_
_atom_site_label
_atom_site_type_symbol
_atom_site_fract_x
_atom_site_fract_y
_atom_site_fract_z
K1 K 0.000 0.000 0.000
K2 K 0.000 0.500 0.500
K3 K 0.500 0.000 0.500
K4 K 0.500 0.500 0.000
Er1 Er 0.000 0.000 0.500
Er2 Er 0.000 0.500 0.000
Er3 Er 0.500 0.000 0.000
Mn1 Mn 0.500 0.500 0.500
Se1 Se 0.235 0.235 0.235
Se2 Se 0.248 0.724 0.724
Se3 Se 0.276 0.276 0.752
Se4 Se 0.276 0.752 0.276
Se5 Se 0.724 0.248 0.724
Se6 Se 0.724 0.724 0.248
Se7 Se 0.752 0.276 0.276
Se8 Se 0.765 0.765 0.765

Look up the theoretical density of the fifth one.
6.619 g/cm3

What is the theoretical density in the fifth record?
6.619 g/cm3

Among the records above, which one has the highest theoretical density?
NpAgAs